DFT (PBE) results for an optimized crystal structure of RbTe3I.

```
RbTe3I
1.0
6.010 0.000 0.000
0.000 6.010 0.000
0.000 0.000 6.010
Rb Te I
1 3 1
Direct
0.000 0.000 0.000
0.000 0.500 0.500
0.500 0.000 0.500
0.500 0.500 0.000
0.500 0.500 0.500
```

## Properties
For the uncorrected formation energy, the calculation gives 53 kJ/mol of formula units. The spin magnetization is 0.0 μB per cell. As for the excess energy over the best structure of this formula in the dataset: 0 meV per atom. The density of states at the Fermi level is 5.04 states/eV/cell. As for the space-group type: Pm-3m (221).



DFT (PBE) results for an optimized crystal structure of RbTeI3.

```
RbTeI3
1.0
4.442 2.564 7.339
-4.442 2.564 7.339
0.000 -5.129 7.339
Rb Te I
2 2 6
Direct
0.000 0.000 0.000
0.500 0.500 0.500
0.190 0.190 0.190
0.690 0.690 0.690
0.056 0.425 0.583
0.083 0.925 0.556
0.425 0.583 0.056
0.556 0.083 0.925
0.583 0.056 0.425
0.925 0.556 0.083
```

## Properties
For the uncorrected formation energy, the calculation gives -269 kJ/mol of formula units. The spin magnetization is 0.0 μB per cell. As for the excess energy over the best structure of this formula in the dataset: 90 meV per atom. The density of states at the Fermi level is 0.00 states/eV/cell. As for the space-group type: R3c (161).



DFT (PBE) results for an optimized crystal structure of RbTeI3.

```
RbTeI3
1.0
6.638 0.000 0.000
-0.075 8.468 0.000
-2.214 -2.641 8.959
Rb Te I
2 2 6
Direct
0.000 0.000 0.000
0.426 0.390 0.676
0.539 0.794 0.349
0.741 0.463 0.363
0.144 0.624 0.318
0.499 0.759 0.028
0.539 0.951 0.670
0.540 0.281 0.051
0.938 0.592 0.692
0.953 0.147 0.392
```

## Properties
For the uncorrected formation energy, the calculation gives -303 kJ/mol of formula units. The spin magnetization is 0.0 μB per cell. As for the excess energy over the best structure of this formula in the dataset: 18 meV per atom. The density of states at the Fermi level is 0.00 states/eV/cell. As for the space-group type: P1 (1).



DFT (PBE) results for an optimized crystal structure of RbTeI3.

```
RbTeI3
1.0
6.462 0.000 0.000
1.217 8.331 0.000
1.386 3.172 9.213
Rb Te I
2 2 6
Direct
0.233 0.230 0.212
0.767 0.770 0.788
0.266 0.665 0.342
0.734 0.335 0.658
0.116 0.121 0.636
0.244 0.710 0.036
0.328 0.594 0.663
0.672 0.406 0.337
0.756 0.290 0.964
0.884 0.879 0.364
```

## Properties
For the uncorrected formation energy, the calculation gives -300 kJ/mol of formula units. The spin magnetization is 0.0 μB per cell. As for the excess energy over the best structure of this formula in the dataset: 25 meV per atom. As for the space-group type: P-1 (2).



DFT (PBE) results for an optimized crystal structure of Rb12Te3I5.

```
Rb12Te3I5
1.0
-10.687 10.687 10.687
10.687 -10.687 10.687
10.687 10.687 -10.687
Rb Te I
48 12 20
Direct
0.060 0.230 0.142
0.060 0.331 0.918
0.082 0.642 0.412
0.082 0.940 0.669
0.088 0.730 0.669
0.088 0.858 0.418
0.142 0.060 0.230
0.142 0.582 0.912
0.169 0.230 0.588
0.169 0.440 0.582
0.230 0.142 0.060
0.230 0.588 0.169
0.270 0.331 0.912
0.270 0.440 0.358
0.331 0.912 0.270
0.331 0.918 0.060
0.358 0.270 0.440
0.358 0.588 0.918
0.412 0.082 0.642
0.412 0.831 0.770
0.418 0.088 0.858
0.418 0.831 0.560
0.440 0.358 0.270
0.440 0.582 0.169
0.560 0.418 0.831
0.560 0.642 0.730
0.582 0.169 0.440
0.582 0.912 0.142
0.588 0.169 0.230
0.588 0.918 0.358
0.642 0.412 0.082
0.642 0.730 0.560
0.669 0.082 0.940
0.669 0.088 0.730
0.730 0.560 0.642
0.730 0.669 0.088
0.770 0.412 0.831
0.770 0.858 0.940
0.831 0.560 0.418
0.831 0.770 0.412
0.858 0.418 0.088
0.858 0.940 0.770
0.912 0.142 0.582
0.912 0.270 0.331
0.918 0.060 0.331
0.918 0.358 0.588
0.940 0.669 0.082
0.940 0.770 0.858
0.125 0.250 0.375
0.125 0.375 0.750
0.250 0.375 0.125
0.250 0.875 0.625
0.375 0.125 0.250
0.375 0.750 0.125
0.625 0.250 0.875
0.625 0.875 0.750
0.750 0.125 0.375
0.750 0.625 0.875
0.875 0.625 0.250
0.875 0.750 0.625
0.000 0.000 0.000
0.000 0.000 0.500
0.000 0.500 0.000
0.000 0.500 0.500
0.125 0.750 0.875
0.125 0.875 0.250
0.250 0.125 0.875
0.250 0.625 0.375
0.375 0.250 0.625
0.375 0.625 0.750
0.500 0.000 0.000
0.500 0.000 0.500
0.500 0.500 0.000
0.500 0.500 0.500
0.625 0.375 0.250
0.625 0.750 0.375
0.750 0.375 0.625
0.750 0.875 0.125
0.875 0.125 0.750
0.875 0.250 0.125
```

## Properties
For the uncorrected formation energy, the calculation gives -2123 kJ/mol of formula units. The spin magnetization is 0.0 μB per cell. The density of states at the Fermi level is 6.87 states/eV/cell. As for the space-group type: Ia-3d (230).



DFT (PBE) results for an optimized crystal structure of RbTeI3.

```
RbTeI3
1.0
7.078 0.000 0.000
-0.618 8.701 0.000
-0.644 -4.242 8.545
Rb Te I
2 2 6
Direct
0.000 0.000 0.000
0.418 0.397 0.742
0.193 0.724 0.297
0.566 0.913 0.407
0.013 0.063 0.429
0.070 0.639 0.535
0.351 0.393 0.138
0.496 0.867 0.074
0.564 0.977 0.734
0.933 0.533 0.794
```

## Properties
For the uncorrected formation energy, the calculation gives -309 kJ/mol of formula units. The spin magnetization is 0.0 μB per cell. As for the excess energy over the best structure of this formula in the dataset: 7 meV per atom. The density of states at the Fermi level is 0.00 states/eV/cell. As for the space-group type: P1 (1).



DFT (PBE) results for an optimized crystal structure of RbTeI3.

```
RbTeI3
1.0
5.202 0.000 0.000
0.000 5.691 0.000
-0.887 0.000 8.718
Rb Te I
1 1 3
Direct
0.000 0.000 0.000
0.189 0.500 0.589
0.337 0.000 0.559
0.474 0.500 0.919
0.897 0.500 0.289
```

## Properties
For the uncorrected formation energy, the calculation gives -296 kJ/mol of formula units. The spin magnetization is 0.0 μB per cell. As for the excess energy over the best structure of this formula in the dataset: 33 meV per atom. The density of states at the Fermi level is 0.00 states/eV/cell. As for the space-group type: Pm (6).



DFT (PBE) results for an optimized crystal structure of RbTeI3.

```
RbTeI3
1.0
6.911 0.000 0.000
0.000 6.911 0.000
0.000 0.000 6.911
Rb Te I
1 1 3
Direct
0.000 0.000 0.000
0.500 0.500 0.500
0.000 0.000 0.500
0.000 0.500 0.000
0.500 0.000 0.000
```

## Properties
For the uncorrected formation energy, the calculation gives 94 kJ/mol of formula units. The spin magnetization is 4.0 μB per cell. As for the excess energy over the best structure of this formula in the dataset: 841 meV per atom. The density of states at the Fermi level is 12.11 states/eV/cell. As for the space-group type: Pm-3m (221).



Question: What is the formula in the third record?
Answer: RbTeI3



Question: The highest spin magnetization belongs to which entry?
Answer: number 8